1.
Below is crystalline La2PrSn2 at its relaxed geometry, with properties calculated at the PBE level.

Cell lengths 12.363, 4.223, 6.479 Å; angles 90.00, 101.18, 90.00 degrees
Atoms (fractional coordinates):
La: 0.128 0.000 0.076
La: 0.372 0.500 0.924
La: 0.628 0.500 0.076
La: 0.872 0.000 0.924
Pr: 0.000 0.500 0.500
Pr: 0.500 0.000 0.500
Sn: 0.208 0.000 0.626
Sn: 0.292 0.500 0.374
Sn: 0.708 0.500 0.626
Sn: 0.792 0.000 0.374

## Properties
- Energy of formation: -0.492 eV per atom
- Space group: C2/m (12)
- DOS(E_F): 6.0 states/eV/f.u.

2.
Below is crystalline La2Pr3Sn3 at its relaxed geometry, with properties calculated at the PBE level.

Cell lengths 9.445, 9.445, 6.925 Å; angles 90.00, 90.00, 120.00 degrees
Atoms (fractional coordinates):
La: 0.333 0.667 0.000
La: 0.333 0.667 0.500
La: 0.667 0.333 0.000
La: 0.667 0.333 0.500
Pr: 0.000 0.243 0.250
Pr: 0.000 0.757 0.750
Pr: 0.243 0.000 0.250
Pr: 0.243 0.243 0.750
Pr: 0.757 0.000 0.750
Pr: 0.757 0.757 0.250
Sn: 0.000 0.391 0.750
Sn: 0.000 0.609 0.250
Sn: 0.391 0.000 0.750
Sn: 0.391 0.391 0.250
Sn: 0.609 0.000 0.250
Sn: 0.609 0.609 0.750

## Properties
- Energy of formation: -0.687 eV per atom
- Space group: P6_3/mcm (193)
- DOS(E_F): 9.2 states/eV/f.u.

3.
Below is crystalline La3PrSn at its relaxed geometry, with properties calculated at the PBE level.

Cell lengths 13.545, 13.545, 4.970 Å; angles 90.00, 90.00, 158.88 degrees
Atoms (fractional coordinates):
La: 0.056 0.944 0.750
La: 0.250 0.750 0.750
La: 0.443 0.557 0.750
La: 0.557 0.443 0.250
La: 0.750 0.250 0.250
La: 0.944 0.056 0.250
Pr: 0.347 0.653 0.250
Pr: 0.653 0.347 0.750
Sn: 0.153 0.847 0.250
Sn: 0.847 0.153 0.750

## Properties
- Energy of formation: -0.341 eV per atom
- Space group: Cmcm (63)
- DOS(E_F): 6.1 states/eV/f.u.

4.
Below is crystalline LaPr5Sn5 at its relaxed geometry, with properties calculated at the PBE level.

Cell lengths 7.975, 7.975, 8.897 Å; angles 105.96, 105.96, 47.62 degrees
Atoms (fractional coordinates):
La: 0.000 0.000 0.000
Pr: 0.000 0.000 0.500
Pr: 0.330 0.330 0.162
Pr: 0.334 0.334 0.666
Pr: 0.666 0.666 0.334
Pr: 0.670 0.670 0.838
Sn: 0.165 0.165 0.825
Sn: 0.166 0.166 0.338
Sn: 0.500 0.500 0.000
Sn: 0.834 0.834 0.662
Sn: 0.835 0.835 0.175

## Properties
- Energy of formation: -0.495 eV per atom
- Space group: C2/m (12)
- DOS(E_F): 10.8 states/eV/f.u.

5.
Below is crystalline La3Pr6Sn at its relaxed geometry, with properties calculated at the PBE level.

Cell lengths 11.217, 12.184, 5.262 Å; angles 90.00, 90.00, 90.00 degrees
Atoms (fractional coordinates):
La: 0.000 0.000 0.000
La: 0.101 0.227 0.500
La: 0.399 0.727 0.000
La: 0.500 0.500 0.500
La: 0.601 0.273 0.000
La: 0.899 0.773 0.500
Pr: 0.094 0.745 0.000
Pr: 0.177 0.574 0.500
Pr: 0.224 0.890 0.500
Pr: 0.276 0.390 0.000
Pr: 0.323 0.074 0.000
Pr: 0.406 0.245 0.500
Pr: 0.594 0.755 0.500
Pr: 0.677 0.926 0.000
Pr: 0.724 0.610 0.000
Pr: 0.776 0.110 0.500
Pr: 0.823 0.426 0.500
Pr: 0.906 0.255 0.000
Sn: 0.000 0.500 0.000
Sn: 0.500 0.000 0.500

## Properties
- Energy of formation: -0.049 eV per atom
- Space group: Pnnm (58)
- DOS(E_F): 14.4 states/eV/f.u.

6.
Below is crystalline La5Pr8Sn at its relaxed geometry, with properties calculated at the PBE level.

Cell lengths 7.972, 7.972, 9.756 Å; angles 113.39, 113.39, 69.06 degrees
Atoms (fractional coordinates):
La: 0.000 0.000 0.000
La: 0.295 0.585 0.100
La: 0.415 0.705 0.900
La: 0.555 0.231 0.747
La: 0.769 0.445 0.253
Pr: 0.025 0.564 0.635
Pr: 0.114 0.058 0.700
Pr: 0.270 0.438 0.377
Pr: 0.436 0.975 0.365
Pr: 0.495 0.118 0.073
Pr: 0.562 0.730 0.623
Pr: 0.882 0.505 0.927
Pr: 0.942 0.886 0.300
Sn: 0.722 0.278 0.500

## Properties
- Energy of formation: 0.066 eV per atom
- Space group: C2 (5)
- DOS(E_F): 21.1 states/eV/f.u.